Dy12Tm5Zr2 (PBE, optimized geometry); energy of formation = 0.174 eV/atom
1.0
8.958 -3.663 0.000
8.958 3.663 0.000
-3.050 0.000 8.948
Dy Tm Zr
12 5 2
Cartesian
-0.457 0.000 1.644 Dy
3.101 1.820 8.866 Dy
4.249 1.800 5.553 Dy
11.765 1.820 0.082 Dy
10.617 1.800 3.394 Dy
7.683 0.000 2.765 Dy
7.184 0.000 6.182 Dy
4.249 -1.800 5.553 Dy
3.101 -1.820 8.866 Dy
10.617 -1.800 3.394 Dy
11.765 -1.820 0.082 Dy
15.323 0.000 7.303 Dy
1.137 0.000 6.354 Tm
4.471 0.000 2.576 Tm
8.958 0.000 0.000 Tm
10.395 0.000 6.372 Tm
13.729 0.000 2.593 Tm
7.433 2.377 4.474 Zr
7.433 -2.377 4.474 Zr

CaLaSc2H (PBE, optimized geometry); DFT total energy = -23.004 eV per cell
1.0
4.912 0.000 0.000
0.000 4.912 0.000
0.000 0.000 5.003
Ca La Sc H
1 1 2 1
Cartesian
0.000 0.000 0.000 Ca
2.456 2.456 0.000 La
0.000 2.456 2.502 Sc
2.456 0.000 2.502 Sc
2.456 2.456 2.502 H

TaV3I (PBE, optimized geometry); formation energy from raw total energies = 8.69 eV per formula unit; distance to the lowest polymorph of the same formula = 0.1721 eV/atom
1.0
4.663 0.000 0.000
0.000 4.663 0.000
0.000 0.000 4.663
Ta V I
1 3 1
Cartesian
0.000 0.000 0.000 Ta
0.000 2.331 2.331 V
2.331 0.000 2.331 V
2.331 2.331 0.000 V
2.331 2.331 2.331 I

In2GeAsCl (PBE, optimized geometry); formation energy from raw total energies = 2.77 eV per formula unit
1.0
5.522 0.000 0.000
0.000 5.522 0.000
0.000 0.000 4.932
In Ge As Cl
2 1 1 1
Cartesian
0.000 2.761 0.000 In
2.761 0.000 0.000 In
0.000 0.000 2.466 Ge
2.761 2.761 2.466 As
2.761 2.761 0.000 Cl

Ce2CdGa3Pt4 (PBE, optimized geometry); energy of formation = -0.843 eV/atom
1.0
4.115 0.000 0.000
0.000 4.115 0.000
0.000 0.000 11.663
Ce Cd Ga Pt
2 1 3 4
Cartesian
0.000 2.058 2.873 Ce
2.058 0.000 8.790 Ce
0.000 0.000 5.832 Cd
0.000 2.058 10.185 Ga
2.058 0.000 1.478 Ga
2.058 2.058 5.832 Ga
0.000 0.000 0.000 Pt
0.000 2.058 7.706 Pt
2.058 0.000 3.957 Pt
2.058 2.058 0.000 Pt

FeTeBr2 (PBE, optimized geometry); formation energy from raw total energies = 0.33 eV per formula unit
1.0
1.730 0.999 11.138
-1.730 0.999 11.138
0.000 -1.998 11.138
Fe Te Br
1 1 2
Cartesian
0.000 0.000 0.000 Fe
0.000 0.000 16.707 Te
0.000 0.000 12.495 Br
0.000 0.000 20.919 Br

Ho2Ta2C3 (PBE, optimized geometry); energy of formation = -0.505 eV/atom
1.0
5.828 -1.693 0.000
5.828 1.693 0.000
-1.793 0.000 5.486
Ho Ta C
2 2 3
Cartesian
0.698 0.000 1.852 Ho
9.165 0.000 3.633 Ho
3.816 0.000 0.900 Ta
6.047 0.000 4.586 Ta
1.492 0.000 4.217 C
4.932 0.000 2.743 C
8.371 0.000 1.268 C

Tm2AgIr (PBE, optimized geometry); energy of formation = -0.667 eV/atom; distance to the lowest polymorph of the same formula = 0.0000 eV/atom
1.0
4.947 0.000 0.000
0.000 3.507 0.000
0.000 0.000 9.766
Tm Ag Ir
4 2 2
Cartesian
1.237 0.000 1.095 Tm
1.237 0.000 6.309 Tm
3.710 0.000 3.457 Tm
3.710 0.000 8.671 Tm
1.237 1.753 3.675 Ag
3.710 1.753 6.091 Ag
1.237 1.753 8.544 Ir
3.710 1.753 1.222 Ir